# La4NiS7 PBE-GGA relaxed
data_La4NiS7
_chemical_formula_sum 'La8 Ni2 S14'
_cell_length_a 15.318
_cell_length_b 4.668
_cell_length_c 10.652
_cell_angle_alpha 90.00
_cell_angle_beta 130.19
_cell_angle_gamma 90.00
_symmetry_space_group_name_H-M 'C 1 2/m 1'
_symmetry_Int_Tables_number 12
loop_
_symmetry_equiv_pos_as_xyz
'x,y,z'
'-x,-y,-z'
'-x,y,-z'
'x,-y,z'
'x+1/2,y+1/2,z'
'-x+1/2,-y+1/2,-z'
'-x+1/2,y+1/2,-z'
'x+1/2,-y+1/2,z'
loop_
_atom_site_label
_atom_site_type_symbol
_atom_site_fract_x
_atom_site_fract_y
_atom_site_fract_z
La1 La 0.085 0.000 0.285
La2 La 0.224 0.000 0.827
Ni1 Ni 0.000 0.500 0.500
S1 S 0.000 0.000 0.500
S2 S 0.070 0.500 0.759
S3 S 0.135 0.000 0.050
S4 S 0.214 0.500 0.362
# VASP energy (eV/atom): -6.315